## BaSr2Os (GGA-PBE)

Data for an optimized crystal structure of BaSr2Os.

- total energy (eV/cell) = -14.3
- energy above the most stable polymorph in this dataset (eV per formula unit) = 0.215
- formation energy from the elements (eV/atom) = 0.566

abc: 3.7728 3.7728 10.7952
angles: 90.00 90.00 90.02
Atoms (fractional coordinates):
Sr 0.5000 0.5000 0.2400
Ba 0.0000 0.0000 0.5864
Os 0.5000 0.5000 0.7574
Sr 0.0000 0.0000 0.9162